VASP calculation (GGA-PBE) on a geometry-optimized Ca2TmAgTe4 structure.

Results
For the total energy, the calculation gives -33.5 eV/cell. For the magnetization, the calculation gives 0.00 μB per cell. The formation energy (no corrections) is -1.199 eV/atom.

Cell: 4.4299 7.7116 7.6413 Å, 109.79 90.00 90.00°
Fractional positions:
Ca 0.5000 0.0000 0.5000
Ca 0.0000 0.5000 0.5000
Tm 0.5000 0.5000 0.0000
Ag 0.0000 0.0000 0.0000
Te 0.5000 0.2463 0.2336
Te 0.5000 0.7537 0.7664
Te 0.0000 0.2586 0.7591
Te 0.0000 0.7414 0.2409